(1)
PBE Pd2Pb2Au3, relaxed; space-group type = C2/m (12); total energy = -4.058 eV per atom; spin magnetization = 0.0 μB per cell; ΔH_f (0 K) = -10.63 kJ/mol of atoms
1.0
4.3370 0.0000 1.1579
1.7994 4.7044 1.9614
0.3515 0.5697 7.3846
Pb Pd Au
2 2 3
direct
0.8583 0.5162 0.7671 Pb
0.1417 0.4838 0.2329 Pb
0.8530 0.1023 0.1918 Pd
0.1470 0.8977 0.8082 Pd
0.3751 0.8090 0.4408 Au
0.5000 0.0000 0.0000 Au
0.6249 0.1910 0.5592 Au

---

(2)
PBE TbTmPd, relaxed; space-group type = R-3m (166); total energy = -5.255 eV per atom; spin magnetization = 0.0 μB per cell; ΔH_f (0 K) = -47.25 kJ/mol of atoms
1.0
-4.7420 -0.2879 0.9657
-2.1234 -4.3349 0.4489
-0.6919 -1.5102 8.3202
Tm Pd Tb
2 2 2
direct
0.6261 0.6261 0.1216 Tm
0.3739 0.3739 0.8784 Tm
0.7485 0.7485 0.7545 Pd
0.2515 0.2515 0.2455 Pd
0.1239 0.1239 0.6284 Tb
0.8761 0.8761 0.3716 Tb

---

(3)
PBE Pm8PtSe3S4, relaxed; energy relative to the elements, uncorrected = -178.4 kJ/mol of atoms; space-group type = R-3m (166); total energy = -6.287 eV per atom; spin magnetization = 0.0 μB per cell
1.0
8.2452 0.0000 0.0000
0.0000 8.2460 -0.0052
-4.1226 -4.1185 5.8325
Pm S Pt Se
8 4 1 3
direct
0.2497 0.7593 0.0096 Pm
0.7503 0.2407 0.5006 Pm
0.7599 0.7593 0.0096 Pm
0.7503 0.2407 0.9904 Pm
0.7562 0.7687 0.5125 Pm
0.2497 0.7593 0.4994 Pm
0.2438 0.2313 0.4875 Pm
0.2401 0.2407 0.9904 Pm
0.5000 0.0000 0.5000 S
0.5000 0.0000 0.0000 S
0.0000 0.0000 0.0000 S
0.0000 0.0000 0.5000 S
0.0000 0.5000 0.0000 Pt
0.5000 0.5000 0.5000 Se
0.5000 0.5000 0.0000 Se
0.0000 0.5000 0.5000 Se